! PBE Dy2HoTl, relaxed; values from VASP
&SYSTEM
  ibrav = 0, nat = 4, ntyp = 3
/
ATOMIC_SPECIES
Ho 164.93 Ho.upf
Dy 162.50 Dy.upf
Tl 204.38 Tl.upf
ATOMIC_POSITIONS crystal
Ho 0.5000 0.5000 0.5000
Dy 0.0000 0.0000 0.5000
Dy 0.0000 0.5000 0.0000
Tl 0.5000 0.0000 0.0000
CELL_PARAMETERS angstrom
4.8443 0.0000 0.0000
0.0000 4.8415 0.0000
0.0000 0.0000 4.8415
! Energy relative to the lowest polymorph listed for this composition (meV per atom): 11
! Mass density (g/cm³): 10.15
! Space-group type: P4/mmm (123)

=====

! PBE Dy2HoTl, relaxed; values from VASP
&SYSTEM
  ibrav = 0, nat = 4, ntyp = 3
/
ATOMIC_SPECIES
Ho 164.93 Ho.upf
Tl 204.38 Tl.upf
Dy 162.50 Dy.upf
ATOMIC_POSITIONS crystal
Ho 0.5000 0.5000 0.5000
Tl 0.5000 0.5000 0.0000
Dy 0.0000 0.0000 0.2305
Dy 0.0000 0.0000 0.7695
CELL_PARAMETERS angstrom
3.6034 0.0000 0.0000
0.0000 3.6034 0.0000
0.0000 0.0000 9.1592
! Energy relative to the lowest polymorph listed for this composition (meV per atom): 28
! Mass density (g/cm³): 9.69
! Space-group type: P4/mmm (123)

=====

! PBE Dy4Ho5Tl4, relaxed; values from VASP
&SYSTEM
  ibrav = 0, nat = 13, ntyp = 3
/
ATOMIC_SPECIES
Ho 164.93 Ho.upf
Dy 162.50 Dy.upf
Tl 204.38 Tl.upf
ATOMIC_POSITIONS crystal
Ho 0.5989 0.7153 0.0869
Dy 0.3935 0.7033 0.5096
Ho 0.4011 0.2847 0.9131
Tl 0.8937 0.8724 0.3401
Ho 0.6858 0.9131 0.7153
Dy 0.9031 0.4904 0.7033
Tl 0.7661 0.3401 0.1276
Dy 0.6065 0.2967 0.4904
Tl 0.2339 0.6599 0.8724
Ho 0.3142 0.0869 0.2847
Tl 0.1063 0.1276 0.6599
Ho 0.0000 0.0000 0.0000
Dy 0.0969 0.5096 0.2967
CELL_PARAMETERS angstrom
-0.2893 -5.0537 -0.4625
2.5037 -1.9297 -8.4135
8.0447 -3.2335 2.3678
! Final energy (eV for the cell shown): -54.00
! Mass density (g/cm³): 10.08
! Space-group type: I4/m (87)

=====

! PBE DyHo6Tl, relaxed; values from VASP
&SYSTEM
  ibrav = 0, nat = 8, ntyp = 3
/
ATOMIC_SPECIES
Dy 162.50 Dy.upf
Ho 164.93 Ho.upf
Tl 204.38 Tl.upf
ATOMIC_POSITIONS crystal
Dy 0.0000 0.0000 0.5000
Ho 0.5000 0.5000 0.5000
Ho 0.5000 0.0000 0.2458
Ho 0.5000 0.5000 0.0000
Ho 0.5000 0.0000 0.7542
Tl 0.0000 0.0000 0.0000
Ho 0.0000 0.5000 0.2458
Ho 0.0000 0.5000 0.7542
CELL_PARAMETERS angstrom
-0.1290 -4.7898 -0.9256
2.2034 0.7689 -4.2860
8.9111 -1.0876 4.3860
! Energy relative to the lowest polymorph listed for this composition (meV per atom): 0
! Mass density (g/cm³): 9.47
! Space-group type: P4/mmm (123)

=====

! PBE Dy9Ho2Tl, relaxed; values from VASP
&SYSTEM
  ibrav = 0, nat = 12, ntyp = 3
/
ATOMIC_SPECIES
Dy 162.50 Dy.upf
Ho 164.93 Ho.upf
Tl 204.38 Tl.upf
ATOMIC_POSITIONS crystal
Dy 0.0000 0.5000 0.8367
Dy 0.0000 0.5000 0.5000
Ho 0.0000 0.0000 0.6671
Tl 0.0000 0.0000 0.0000
Dy 0.5000 0.5000 0.0000
Dy 0.5000 0.0000 0.8367
Dy 0.0000 0.5000 0.1633
Dy 0.5000 0.5000 0.3290
Dy 0.5000 0.0000 0.1633
Ho 0.0000 0.0000 0.3329
Dy 0.5000 0.5000 0.6710
Dy 0.5000 0.0000 0.5000
CELL_PARAMETERS angstrom
4.9282 0.0000 0.0000
0.0000 4.9282 0.0000
0.0000 0.0000 15.0807
! Final energy (eV for the cell shown): -53.44
! Mass density (g/cm³): 9.05
! Space-group type: P4/mmm (123)

=====

! PBE Dy6Ho2Tl, relaxed; values from VASP
&SYSTEM
  ibrav = 0, nat = 18, ntyp = 3
/
ATOMIC_SPECIES
Dy 162.50 Dy.upf
Ho 164.93 Ho.upf
Tl 204.38 Tl.upf
ATOMIC_POSITIONS crystal
Dy 0.4995 0.4177 0.9087
Dy 0.1731 0.0823 0.5914
Dy 0.5005 0.5823 0.0913
Dy 0.7413 0.9708 0.8107
Dy 0.0405 0.4709 0.3107
Ho 0.3922 0.8051 0.6406
Dy 0.7244 0.1360 0.9715
Tl 0.8346 0.7500 0.2499
Dy 0.2587 0.0292 0.1893
Ho 0.0534 0.3050 0.1408
Dy 0.8269 0.9177 0.4086
Dy 0.9595 0.5291 0.6893
Dy 0.6171 0.3640 0.5285
Ho 0.9466 0.6950 0.8592
Ho 0.6078 0.1949 0.3594
Dy 0.2756 0.8640 0.0285
Tl 0.1654 0.2500 0.7501
Dy 0.3829 0.6360 0.4715
CELL_PARAMETERS angstrom
6.1116 -0.9465 0.0811
-1.6636 9.9847 5.8873
-2.9141 2.2894 10.2620
! Energy relative to the lowest polymorph listed for this composition (meV per atom): 0
! Mass density (g/cm³): 9.18
! Space-group type: C2/c (15)

=====

! PBE Dy5HoTl3, relaxed; values from VASP
&SYSTEM
  ibrav = 0, nat = 18, ntyp = 3
/
ATOMIC_SPECIES
Dy 162.50 Dy.upf
Tl 204.38 Tl.upf
Ho 164.93 Ho.upf
ATOMIC_POSITIONS crystal
Dy 0.5000 0.6667 0.3333
Dy 0.2500 0.6665 0.0000
Tl 0.7500 0.9999 0.6673
Dy 0.2500 0.3336 0.3336
Dy 0.0000 0.6667 0.3333
Tl 0.2500 0.3329 0.0000
Tl 0.7500 0.6671 0.0000
Dy 0.7500 0.6664 0.6664
Tl 0.2500 0.6673 0.6673
Dy 0.0000 0.3333 0.6667
Dy 0.5000 0.3333 0.6667
Dy 0.7500 0.9999 0.3336
Ho 0.5000 0.0000 0.0000
Dy 0.7500 0.3335 0.0000
Tl 0.7500 0.3327 0.3327
Ho 0.0000 0.0000 0.0000
Tl 0.2500 0.0001 0.3327
Dy 0.2500 0.0001 0.6664
CELL_PARAMETERS angstrom
-6.3191 2.1059 0.8779
-0.2352 -4.1957 8.3718
2.8640 8.8880 -0.7057
! Final energy (eV for the cell shown): -74.01
! Mass density (g/cm³): 10.35
! Space-group type: P6_3/mcm (193)

=====

! PBE Dy4HoTl, relaxed; values from VASP
&SYSTEM
  ibrav = 0, nat = 6, ntyp = 3
/
ATOMIC_SPECIES
Tl 204.38 Tl.upf
Dy 162.50 Dy.upf
Ho 164.93 Ho.upf
ATOMIC_POSITIONS crystal
Tl 0.5000 0.5000 0.5000
Dy 0.5000 0.5000 0.8253
Dy 0.0000 0.0000 0.3497
Dy 0.0000 0.0000 0.6503
Ho 0.0000 0.0000 0.0000
Dy 0.5000 0.5000 0.1747
CELL_PARAMETERS angstrom
-1.6489 -1.3184 -2.8857
3.1707 -0.5700 -1.5513
0.4458 -13.0323 5.6993
! Energy relative to the lowest polymorph listed for this composition (meV per atom): 0
! Mass density (g/cm³): 9.30
! Space-group type: P4/mmm (123)

=====

! PBE DyHoTl3, relaxed; values from VASP
&SYSTEM
  ibrav = 0, nat = 10, ntyp = 3
/
ATOMIC_SPECIES
Dy 162.50 Dy.upf
Tl 204.38 Tl.upf
Ho 164.93 Ho.upf
ATOMIC_POSITIONS crystal
Dy 0.5000 0.0000 0.0000
Dy 0.0000 0.0000 0.0000
Tl 0.2500 0.7999 0.6001
Tl 0.7500 0.2001 0.3999
Tl 0.7500 0.2001 0.7999
Tl 0.2500 0.7999 0.2001
Ho 0.2500 0.3335 0.6665
Tl 0.7500 0.6001 0.7999
Ho 0.7500 0.6665 0.3335
Tl 0.2500 0.3999 0.2001
CELL_PARAMETERS angstrom
-4.3411 3.5979 -2.9317
1.0879 -3.8116 -6.2887
-5.1516 -2.2539 4.8621
! Final energy (eV for the cell shown): -32.43
! Mass density (g/cm³): 10.27
! Space-group type: P6_3/mmc (194)

=====

! PBE DyHo5Tl2, relaxed; values from VASP
&SYSTEM
  ibrav = 0, nat = 8, ntyp = 3
/
ATOMIC_SPECIES
Ho 164.93 Ho.upf
Tl 204.38 Tl.upf
Dy 162.50 Dy.upf
ATOMIC_POSITIONS crystal
Ho 0.3669 0.4041 0.8621
Tl 0.7395 0.7605 0.7605
Ho 0.6331 0.5959 0.1379
Ho 0.6331 0.1379 0.5959
Tl 0.2605 0.2395 0.2395
Ho 0.0000 0.5000 0.5000
Ho 0.3669 0.8621 0.4041
Dy 0.0000 0.0000 0.0000
CELL_PARAMETERS angstrom
3.5893 0.0000 0.0000
1.7946 8.1916 -0.4699
1.7946 2.0165 7.9535
! Final energy (eV for the cell shown): -33.09
! Mass density (g/cm³): 9.77
! Space-group type: Immm (71)

=====

! PBE Dy4HoTl7, relaxed; values from VASP
&SYSTEM
  ibrav = 0, nat = 12, ntyp = 3
/
ATOMIC_SPECIES
Dy 162.50 Dy.upf
Ho 164.93 Ho.upf
Tl 204.38 Tl.upf
ATOMIC_POSITIONS crystal
Dy 0.5847 0.2168 0.6137
Ho 0.0000 0.0000 0.0000
Tl 0.2139 0.1032 0.4689
Dy 0.2804 0.3268 0.1124
Tl 0.0822 0.6745 0.1611
Tl 0.5000 0.0000 0.0000
Dy 0.4153 0.7832 0.3863
Dy 0.7196 0.6732 0.8876
Tl 0.3670 0.5432 0.7228
Tl 0.7861 0.8968 0.5311
Tl 0.9178 0.3255 0.8389
Tl 0.6330 0.4568 0.2772
CELL_PARAMETERS angstrom
-2.7188 -4.6253 -1.7664
1.8115 -7.0694 6.6919
-6.7114 -0.6028 2.8771
! Final energy (eV for the cell shown): -40.85
! Mass density (g/cm³): 10.30
! Space-group type: C2/m (12)

=====

! PBE Dy4Ho2Tl, relaxed; values from VASP
&SYSTEM
  ibrav = 0, nat = 28, ntyp = 3
/
ATOMIC_SPECIES
Ho 164.93 Ho.upf
Dy 162.50 Dy.upf
Tl 204.38 Tl.upf
ATOMIC_POSITIONS crystal
Ho 0.5868 0.3964 0.8425
Dy 0.6369 0.9621 0.8841
Ho 0.4132 0.6036 0.1575
Dy 0.1369 0.5379 0.3841
Ho 0.9132 0.8964 0.6575
Dy 0.3224 0.3118 0.5743
Dy 0.5734 0.2445 0.3291
Ho 0.6037 0.3995 0.3506
Ho 0.0868 0.1036 0.3425
Ho 0.1037 0.1005 0.8506
Tl 0.3367 0.3257 0.0834
Ho 0.3963 0.6005 0.6494
Dy 0.9266 0.7445 0.1709
Dy 0.8631 0.4621 0.6159
Tl 0.8367 0.1743 0.5834
Dy 0.8702 0.4584 0.1161
Dy 0.1776 0.8118 0.9257
Dy 0.8224 0.1882 0.0743
Dy 0.3631 0.0379 0.1159
Tl 0.6633 0.6743 0.9166
Dy 0.4266 0.7555 0.6709
Ho 0.8963 0.8995 0.1494
Dy 0.6298 0.9584 0.3839
Dy 0.6776 0.6882 0.4257
Dy 0.0734 0.2555 0.8291
Tl 0.1633 0.8257 0.4166
Dy 0.3702 0.0416 0.6161
Dy 0.1298 0.5416 0.8839
CELL_PARAMETERS angstrom
3.4867 0.0000 -0.5119
0.0000 21.1104 0.0000
-1.7944 0.0000 11.8850
! Energy relative to the lowest polymorph listed for this composition (meV per atom): 0
! Mass density (g/cm³): 9.20
! Space-group type: P2_1/c (14)

=====

What did the first record say?
! PBE Dy2HoTl, relaxed; values from VASP
&SYSTEM
  ibrav = 0, nat = 4, ntyp = 3
/
ATOMIC_SPECIES
Ho 164.93 Ho.upf
Dy 162.50 Dy.upf
Tl 204.38 Tl.upf
ATOMIC_POSITIONS crystal
Ho 0.5000 0.5000 0.5000
Dy 0.0000 0.0000 0.5000
Dy 0.0000 0.5000 0.0000
Tl 0.5000 0.0000 0.0000
CELL_PARAMETERS angstrom
4.8443 0.0000 0.0000
0.0000 4.8415 0.0000
0.0000 0.0000 4.8415
! Energy relative to the lowest polymorph listed for this composition (meV per atom): 11
! Mass density (g/cm³): 10.15
! Space-group type: P4/mmm (123)

=====

- What is the formula in the eleventh record?
  Dy4HoTl7

=====

- mass density of number 1 (Dy2HoTl)?
  10.15 g/cm³